[1]
First-principles (PBE) data for an optimized crystal structure of BaLi2Sb2, as listed in the Alexandria database.

POSCAR file:
```
BaLi2Sb2
1.0
-4.675 2.375 -7.039
-7.362 -0.368 4.765
0.381 3.232 0.838
Ba Li Sb
2 4 4
Cartesian
0.000 0.000 0.000
-6.018 1.003 -1.137
-8.335 0.592 1.503
-3.376 0.127 1.044
-3.702 1.415 -3.777
-8.661 1.880 -3.318
-2.614 2.327 -1.051
-9.043 2.912 -0.385
-5.580 1.780 2.407
-6.076 3.459 -3.843
```

SG: No. 127
Energy above the most stable polymorph in this dataset in kcal/mol of atoms: 3.48
ΔE_f (raw) in eV per atom: -0.64
Theoretical density in g/cm3: 5.063

[2]
First-principles (PBE) data for an optimized crystal structure of AcPm2Bi2, as listed in the Alexandria database.

POSCAR file:
```
AcPm2Bi2
1.0
-2.646 -3.853 -0.781
3.570 -1.933 -2.445
3.199 -6.094 4.916
Pm Bi Ac
2 2 1
Cartesian
3.618 -5.459 0.428
0.505 -6.421 1.262
1.035 -3.564 -0.247
3.088 -8.316 1.937
0.000 0.000 0.000
```

SG: No. 69
Theoretical density in g/cm3: 8.897
Energy relative to the elements in eV/atom: -0.6014

[3]
First-principles (PBE) data for an optimized crystal structure of Li2CaBe2, as listed in the Alexandria database.

POSCAR file:
```
Li2CaBe2
1.0
-2.829 -3.360 -0.398
0.733 -0.102 -4.347
2.364 -4.680 -1.728
Li Ca Be
2 1 2
Cartesian
0.342 -5.568 -4.285
-0.073 -2.573 -2.189
0.000 0.000 0.000
-0.756 -4.885 -2.250
1.025 -3.256 -4.224
```

SG: No. 139
Energy above the most stable polymorph in this dataset in kcal/mol of atoms: 0.11
Theoretical density in g/cm3: 1.349
Energy relative to the elements in eV/atom: 0.4010

[4]
First-principles (PBE) data for an optimized crystal structure of CrHS2, as listed in the Alexandria database.

POSCAR file:
```
CrHS2
1.0
2.044 0.000 5.741
-1.022 1.771 5.741
-1.022 -1.771 5.741
S Cr H
2 1 1
Cartesian
0.000 0.000 15.597
0.000 0.000 1.626
0.000 0.000 8.612
0.000 0.000 0.000
```

SG: No. 166
Energy above the most stable polymorph in this dataset in kcal/mol of atoms: 0.00
Theoretical density in g/cm3: 3.120

[5]
First-principles (PBE) data for an optimized crystal structure of ZnTe2As, as listed in the Alexandria database.

POSCAR file:
```
ZnTe2As
1.0
-0.212 -1.336 9.444
5.113 -1.266 7.954
-2.378 4.038 -8.310
As Zn Te
1 1 2
Cartesian
-0.069 0.700 4.916
2.451 -1.301 8.699
2.593 0.735 4.172
0.000 0.000 0.000
```

SG: No. 119
Energy above the most stable polymorph in this dataset in kcal/mol of atoms: 6.28
ΔE_f (raw) in eV per atom: 0.21
Theoretical density in g/cm3: 4.704

[6]
First-principles (PBE) data for an optimized crystal structure of Li3Sb4Pb2, as listed in the Alexandria database.

POSCAR file:
```
Li3Sb4Pb2
1.0
7.470 -0.044 0.000
-2.535 8.269 0.000
0.000 0.000 7.802
Li Sb Pb
6 8 4
Cartesian
3.724 6.141 2.669
2.468 4.113 0.000
1.211 2.084 5.133
-1.267 4.135 3.901
4.946 2.062 6.570
-0.011 6.163 1.232
3.488 4.117 4.947
5.182 4.086 1.046
2.488 7.627 0.292
2.447 0.598 7.509
1.447 4.108 2.855
-0.247 4.139 6.756
6.182 0.576 4.193
-1.247 7.649 3.608
1.548 6.624 5.271
3.387 1.601 2.531
-0.348 1.623 1.370
5.283 6.602 6.432
```

SG: No. 14
ΔE_f (raw) in eV per atom: -0.22
Theoretical density in g/cm3: 6.367